The following is a DFT calculation (PBE) of LuPO4 after structural relaxation. Values from VASP.

Calculated total energy (eV/atom): -7.91
Calculated volume (Å³ per atom): 10.520
Formation energy from raw total energies (eV per atom): -2.9538

Quantum ESPRESSO input file:
```
&SYSTEM
  ibrav = 0, nat = 12, ntyp = 3
/
ATOMIC_SPECIES
Lu 174.97 Lu.upf
P 30.97 P.upf
O 16.00 O.upf
CELL_PARAMETERS angstrom
-2.389 2.389 5.531
2.389 -2.389 5.531
2.389 2.389 -5.531
ATOMIC_POSITIONS crystal
Lu 0.375 0.125 0.250
Lu 0.625 0.875 0.750
P 0.125 0.375 0.750
P 0.875 0.625 0.250
O 0.068 0.204 0.374
O 0.194 0.568 0.364
O 0.296 0.169 0.864
O 0.331 0.694 0.126
O 0.669 0.306 0.874
O 0.704 0.831 0.136
O 0.806 0.432 0.636
O 0.932 0.796 0.626
```